First-principles (PBE) data for crystalline LiMg2USe4 at its relaxed geometry, as listed in Alexandria via LeMat-Bulk.

Lattice parameters (Å, degrees): 6.8887 3.9445 6.9296 90.00 108.11 90.00
Closest atoms and distances in Å follow each position.
Sites, in units of the cell vectors:
Li 0.0000 0.0000 0.0000  6 Se 2.78-2.89
Mg 0.0000 0.5000 0.5000  6 Se 2.73-2.75
Mg 0.5000 0.0000 0.5000  6 Se 2.77-2.82
U 0.5000 0.5000 0.0000  6 Se 2.87-2.91
Se 0.2342 0.0000 0.7385  3 Mg 2.75-2.82, 1 Li 2.78, 2 U 2.91
Se 0.2535 0.5000 0.2661  3 Mg 2.73-2.77, 1 U 2.87, 2 Li 2.89
Se 0.7465 0.5000 0.7339  3 Mg 2.73-2.77, 1 U 2.87, 2 Li 2.89
Se 0.7658 0.0000 0.2615  3 Mg 2.75-2.82, 1 Li 2.78, 2 U 2.91

Summary:
Crystal system: monoclinic
Uncorrected formation energy, meV per atom: -1159.0
Density of states at the Fermi level, states/eV/cell: 5.6